Cd2TcOs, PBEsol geometry, DFT SCAN; DFT total energy = -41.199 eV per atom; spin magnetization = 0.00 μB/atom; calculated formation energy = 17.15 kcal/mol of atoms; space-group type = Cmmm, No. 65; distance to the lowest polymorph of the same formula = 191 meV/atom
1.0
2.725 0.000 0.000
0.000 5.210 -0.017
0.000 -2.416 4.616
Cd Os Tc
2 1 1
Direct
0.000 0.000 0.500
0.000 0.500 0.000
0.500 0.000 0.000
0.500 0.500 0.500